Entry 1:
The following is a GGA+U calculation of crystalline NaPu2MnO8 at its relaxed geometry, from Alexandria.

Calculated values
The total moment comes out at 0.667 μB per atom. The value obtained for the electronic total energy is -8.123 eV/atom.

a b c (Å): 5.8492 5.8492 5.3724
angles (deg): 90.00 90.00 120.00
Fractional coordinates of all 12 atoms:
Na (0.0000, 0.0000, 0.0000)
Pu (0.3333, 0.6667, 0.9357)
Pu (0.6667, 0.3333, 0.0643)
Mn (0.0000, 0.0000, 0.5000)
O (0.0572, 0.3631, 0.1774)
O (0.3059, 0.9428, 0.1774)
O (0.3333, 0.6667, 0.5926)
O (0.3631, 0.3059, 0.8226)
O (0.6369, 0.6941, 0.1774)
O (0.6667, 0.3333, 0.4074)
O (0.6941, 0.0572, 0.8226)
O (0.9428, 0.6369, 0.8226)

***

Entry 2:
The following is a GGA+U calculation of crystalline Na2PuMnO4 at its relaxed geometry, from Alexandria.

Calculated values
The total moment comes out at 1.125 μB per atom. The value obtained for the electronic total energy is -7.662 eV/atom.

a b c (Å): 5.6581 3.4102 5.8604
angles (deg): 90.00 108.31 90.00
Fractional coordinates of all 8 atoms:
Na (0.0000, 0.0000, 0.0000)
Na (0.5000, 0.5000, 0.0000)
Pu (0.0000, 0.5000, 0.5000)
Mn (0.5000, 0.0000, 0.5000)
O (0.2333, 0.0000, 0.7172)
O (0.2567, 0.5000, 0.2901)
O (0.7433, 0.5000, 0.7099)
O (0.7667, 0.0000, 0.2828)

***

Entry 3:
The following is a GGA+U calculation of crystalline Na4Pu3MnO8 at its relaxed geometry, from Alexandria.

Calculated values
The total moment comes out at 0.937 μB per atom. The value obtained for the electronic total energy is -8.056 eV/atom.

a b c (Å): 6.8343 6.8343 6.8343
angles (deg): 59.82 59.82 59.82
Fractional coordinates of all 16 atoms:
Na (0.0000, 0.0000, 0.0000)
Na (0.0000, 0.5000, 0.5000)
Na (0.5000, 0.0000, 0.5000)
Na (0.5000, 0.5000, 0.0000)
Pu (0.0000, 0.0000, 0.5000)
Pu (0.0000, 0.5000, 0.0000)
Pu (0.5000, 0.0000, 0.0000)
Mn (0.5000, 0.5000, 0.5000)
O (0.2389, 0.7366, 0.7366)
O (0.2401, 0.2401, 0.2401)
O (0.2634, 0.2634, 0.7611)
O (0.2634, 0.7611, 0.2634)
O (0.7366, 0.2389, 0.7366)
O (0.7366, 0.7366, 0.2389)
O (0.7599, 0.7599, 0.7599)
O (0.7611, 0.2634, 0.2634)

***

Entry 4:
The following is a GGA+U calculation of crystalline NaPuMn2O6 at its relaxed geometry, from Alexandria.

Calculated values
The total moment comes out at 1.100 μB per atom. The value obtained for the electronic total energy is -8.041 eV/atom.

a b c (Å): 5.4922 5.4955 5.9130
angles (deg): 62.35 62.39 60.02
Fractional coordinates of all 10 atoms:
Na (0.0000, 0.0000, 0.0000)
Pu (0.5193, 0.5192, 0.4420)
Mn (0.2064, 0.2057, 0.3814)
Mn (0.7229, 0.7225, 0.8322)
O (0.1266, 0.7839, 0.6462)
O (0.3376, 0.5721, 0.1835)
O (0.4432, 0.1263, 0.6464)
O (0.5725, 0.9060, 0.1831)
O (0.7836, 0.4432, 0.6467)
O (0.9063, 0.3380, 0.1832)

***

> What is the formula in the fourth record?

NaPuMn2O6